[1]
Al3VW, relaxed, DFT GGA-PBE; final energy = -5.698 eV/atom; E_form = 0.961 eV per atom; space-group type = Pm-3m; E above lowest polymorph = 0.00 kJ per mole of atoms
1.0
4.8117 0.0000 0.0000
0.0000 4.8117 0.0000
0.0000 0.0000 4.8117
Al V W
3 1 1
Direct
0.0000 0.0000 0.5000 Al
0.0000 0.5000 0.0000 Al
0.5000 0.0000 0.0000 Al
0.5000 0.5000 0.5000 V
0.0000 0.0000 0.0000 W


[2]
AlV6W2, relaxed, DFT GGA-PBE; final energy = -9.429 eV/atom; E_form = -0.056 eV per atom; space-group type = C2/m
1.0
6.2540 -2.1752 0.0000
6.2540 2.1752 0.0000
-1.7514 0.0000 4.7323
Al V W
1 6 2
Direct
0.0000 0.0000 0.0000 Al
0.2264 0.2264 0.1120 V
0.3369 0.3369 0.6730 V
0.4418 0.4418 0.2307 V
0.5582 0.5582 0.7693 V
0.6631 0.6631 0.3270 V
0.7736 0.7736 0.8880 V
0.1142 0.1142 0.5638 W
0.8858 0.8858 0.4362 W


[3]
AlVW4, relaxed, DFT GGA-PBE; final energy = -10.845 eV/atom; E_form = -0.066 eV per atom; space-group type = C2/m
1.0
4.6898 -2.2292 0.0000
4.6898 2.2292 0.0000
-3.1530 0.0000 4.4614
Al V W
1 1 4
Direct
0.0000 0.0000 0.0000 Al
0.0000 0.0000 0.5000 V
0.3268 0.3268 0.9985 W
0.3399 0.3399 0.5165 W
0.6601 0.6601 0.4835 W
0.6732 0.6732 0.0015 W


[4]
AlV3W3, relaxed, DFT GGA-PBE; final energy = -10.047 eV/atom; E_form = -0.053 eV per atom; space-group type = P-1
1.0
5.1183 0.0000 0.0000
-2.3640 6.3341 0.0000
-1.4145 -1.6663 6.4233
Al V W
2 6 6
Direct
0.0014 0.2552 0.2611 Al
0.9986 0.7448 0.7389 Al
0.1586 0.6893 0.3917 V
0.2863 0.0986 0.5393 V
0.4174 0.0339 0.1791 V
0.5826 0.9661 0.8209 V
0.7137 0.9014 0.4607 V
0.8414 0.3107 0.6083 V
0.1425 0.1758 0.8917 W
0.2880 0.6089 0.0420 W
0.4088 0.5314 0.6701 W
0.5912 0.4686 0.3299 W
0.7120 0.3911 0.9580 W
0.8575 0.8242 0.1083 W


[5]
Al3V7W, relaxed, DFT GGA-PBE; final energy = -7.775 eV/atom; E_form = 0.226 eV per atom; space-group type = Cmcm
1.0
1.3181 -9.3176 0.0000
1.3181 9.3176 0.0000
0.0000 0.0000 13.4456
Al V W
6 14 2
Direct
0.1201 0.8799 0.5367 Al
0.1201 0.8799 0.9633 Al
0.2254 0.7746 0.2500 Al
0.7746 0.2254 0.7500 Al
0.8799 0.1201 0.0367 Al
0.8799 0.1201 0.4633 Al
0.2606 0.7394 0.5780 V
0.2606 0.7394 0.9220 V
0.3616 0.6384 0.2500 V
0.3795 0.6205 0.6556 V
0.3795 0.6205 0.8444 V
0.4915 0.5085 0.5818 V
0.4915 0.5085 0.9182 V
0.5085 0.4915 0.0818 V
0.5085 0.4915 0.4182 V
0.6205 0.3795 0.1556 V
0.6205 0.3795 0.3444 V
0.6384 0.3616 0.7500 V
0.7394 0.2606 0.0780 V
0.7394 0.2606 0.4220 V
0.0097 0.9903 0.7500 W
0.9903 0.0097 0.2500 W


[6]
AlVW, relaxed, DFT GGA-PBE; final energy = -8.725 eV/atom; E_form = -0.120 eV per atom; space-group type = P2_1/m; E above lowest polymorph = 1.48 kJ per mole of atoms
1.0
3.1512 0.0000 0.0000
0.0000 4.3113 0.0000
-1.5607 0.0000 6.5176
Al V W
2 2 2
Direct
0.2467 0.2500 0.4934 Al
0.7533 0.7500 0.5066 Al
0.4155 0.7500 0.8338 V
0.5845 0.2500 0.1662 V
0.0862 0.7500 0.1699 W
0.9138 0.2500 0.8301 W


[7]
Al2V6W, relaxed, DFT GGA-PBE; final energy = -8.088 eV/atom; E_form = 0.262 eV per atom; space-group type = Immm; E above lowest polymorph = 34.89 kJ per mole of atoms
1.0
-2.1948 2.5218 6.0487
2.1948 -2.5218 6.0487
2.1948 2.5218 -6.0487
Al V W
2 6 1
Direct
0.1077 0.1077 0.0000 Al
0.8923 0.8923 0.0000 Al
0.0534 0.3030 0.7504 V
0.2399 0.5000 0.7399 V
0.4473 0.6970 0.7504 V
0.5527 0.3030 0.2496 V
0.7601 0.5000 0.2601 V
0.9466 0.6970 0.2496 V
0.5000 0.0000 0.5000 W


[8]
Al2VW2, relaxed, DFT GGA-PBE; final energy = -8.389 eV/atom; E_form = 0.113 eV per atom; space-group type = P4/mbm
1.0
6.6408 0.0000 0.0000
0.0000 6.6408 0.0000
0.0000 0.0000 3.4285
Al V W
4 2 4
Direct
0.1306 0.3694 0.0000 Al
0.3694 0.8694 0.0000 Al
0.6306 0.1306 0.0000 Al
0.8694 0.6306 0.0000 Al
0.0000 0.0000 0.0000 V
0.5000 0.5000 0.0000 V
0.1713 0.6713 0.5000 W
0.3287 0.1713 0.5000 W
0.6713 0.8287 0.5000 W
0.8287 0.3287 0.5000 W


- Which of these has the lowest final energy?
  AlVW4